# PBE Hf2TiF2, optimized geometry
data_Hf2TiF2
_symmetry_space_group_name_H-M 'P 4/m b m'
_symmetry_Int_Tables_number 127
_symmetry_space_group_name_Hall '-P 4 2ab'
_cell_length_a 8.1046
_cell_length_b 8.1046
_cell_length_c 2.8361
_cell_angle_alpha 90.00
_cell_angle_beta 90.00
_cell_angle_gamma 90.00
loop_
_atom_site_label
_atom_site_type_symbol
_atom_site_fract_x
_atom_site_fract_y
_atom_site_fract_z
Hf1 Hf 0.2400 0.2600 0.0000
Ti1 Ti 0.0000 0.0000 0.0000
F1 F 0.1012 0.3988 0.5000
# Total magnetic moment ... 0.0 μB/cell
# Formation energy without anion corrections ... -801 meV/atom
# Offset from the most stable computed form ... 807 meV/atom



# PBE Hf2TiF2, optimized geometry
data_Hf2TiF2
_symmetry_space_group_name_H-M 'I 4/m m m'
_symmetry_Int_Tables_number 139
_symmetry_space_group_name_Hall '-I 4 2'
_cell_length_a 3.3075
_cell_length_b 3.3075
_cell_length_c 14.1102
_cell_angle_alpha 90.00
_cell_angle_beta 90.00
_cell_angle_gamma 90.00
loop_
_atom_site_label
_atom_site_type_symbol
_atom_site_fract_x
_atom_site_fract_y
_atom_site_fract_z
Hf1 Hf 0.0000 0.0000 0.1331
Ti1 Ti 0.0000 0.0000 0.5000
F1 F 0.0000 0.5000 0.2500
# Total magnetic moment ... 0.0 μB/cell
# Formation energy without anion corrections ... -1608 meV/atom
# Offset from the most stable computed form ... 0 meV/atom



# PBE Hf2TiF, optimized geometry
data_Hf2TiF
_symmetry_space_group_name_H-M 'I -4 2 d'
_symmetry_Int_Tables_number 122
_symmetry_space_group_name_Hall 'I -4 2bw'
_cell_length_a 7.0271
_cell_length_b 7.0271
_cell_length_c 5.9082
_cell_angle_alpha 90.00
_cell_angle_beta 90.00
_cell_angle_gamma 90.00
loop_
_atom_site_label
_atom_site_type_symbol
_atom_site_fract_x
_atom_site_fract_y
_atom_site_fract_z
Hf1 Hf 0.1659 0.2500 0.1250
Ti1 Ti 0.0000 0.0000 0.5000
F1 F 0.0000 0.0000 0.0000
# Total magnetic moment ... 0.1 μB/cell
# Formation energy without anion corrections ... -506 meV/atom
# Offset from the most stable computed form ... 0 meV/atom



# PBE Hf2TiF, optimized geometry
data_Hf2TiF
_symmetry_space_group_name_H-M 'F m -3 m'
_symmetry_Int_Tables_number 225
_symmetry_space_group_name_Hall '-F 4 2 3'
_cell_length_a 6.6824
_cell_length_b 6.6824
_cell_length_c 6.6824
_cell_angle_alpha 90.00
_cell_angle_beta 90.00
_cell_angle_gamma 90.00
loop_
_atom_site_label
_atom_site_type_symbol
_atom_site_fract_x
_atom_site_fract_y
_atom_site_fract_z
Hf1 Hf 0.2500 0.2500 0.2500
Ti1 Ti 0.0000 0.0000 0.0000
F1 F 0.0000 0.0000 0.5000
# Total magnetic moment ... 5.4 μB/cell
# Formation energy without anion corrections ... 81 meV/atom
# Offset from the most stable computed form ... 586 meV/atom



# PBE HfTiF3, optimized geometry
data_HfTiF3
_symmetry_space_group_name_H-M 'P m -3 m'
_symmetry_Int_Tables_number 221
_symmetry_space_group_name_Hall '-P 4 2 3'
_cell_length_a 4.3046
_cell_length_b 4.3046
_cell_length_c 4.3046
_cell_angle_alpha 90.00
_cell_angle_beta 90.00
_cell_angle_gamma 90.00
loop_
_atom_site_label
_atom_site_type_symbol
_atom_site_fract_x
_atom_site_fract_y
_atom_site_fract_z
Hf1 Hf 0.0000 0.0000 0.0000
Ti1 Ti 0.5000 0.5000 0.5000
F1 F 0.0000 0.0000 0.5000
# Total magnetic moment ... 4.5 μB/cell
# Formation energy without anion corrections ... -1652 meV/atom
# Offset from the most stable computed form ... 0 meV/atom



# PBE HfTiF3, optimized geometry
data_HfTiF3
_symmetry_space_group_name_H-M 'P m -3 m'
_symmetry_Int_Tables_number 221
_symmetry_space_group_name_Hall '-P 4 2 3'
_cell_length_a 4.2074
_cell_length_b 4.2074
_cell_length_c 4.2074
_cell_angle_alpha 90.00
_cell_angle_beta 90.00
_cell_angle_gamma 90.00
loop_
_atom_site_label
_atom_site_type_symbol
_atom_site_fract_x
_atom_site_fract_y
_atom_site_fract_z
Hf1 Hf 0.0000 0.0000 0.0000
Ti1 Ti 0.5000 0.5000 0.5000
F1 F 0.0000 0.5000 0.5000
# Total magnetic moment ... 4.4 μB/cell
# Formation energy without anion corrections ... -1494 meV/atom
# Offset from the most stable computed form ... 158 meV/atom



Which value of total magnetic moment does entry 6 give?
4.4 μB/cell



Number 5 is which compound?
HfTiF3